Computed, not measured: a geometry-optimized K2Pb4Au3 structure at the PBE level of DFT.

Values from the calculation:
size of the total moment: 0.00 μB/f.u.
calculated formation energy: -184 meV per atom

Lattice parameters (Å, degrees): 9.4165 8.1584 6.4410 79.38 58.38 42.24
Positions (direct):
K  0.1217  0.1217  0.8783
K  0.8783  0.8783  0.1217
Pb  0.1766  0.5142  0.4858
Pb  0.4858  0.8234  0.1766
Pb  0.5142  0.1766  0.8234
Pb  0.8234  0.4858  0.5142
Au  0.0000  0.0000  0.5000
Au  0.5000  0.5000  0.0000
Au  0.5000  0.5000  0.5000